Record 1
K2Ag2F | PBE-GGA | optimized geometry

- Relative energy among the computed polymorphs: 0.199 eV per atom
- N(E_F): 2.8 states/eV/f.u.
- Energy relative to the elements, uncorrected: -488 meV/atom
- Mass density: 3.3 g/cm³

Geometry as extended XYZ:
```
10
Lattice="6.5962 0.0000 0.0000 0.0000 6.5962 0.0000 0.0000 0.0000 7.3296" Properties=species:S:1:pos:R:3 pbc="T T T"
K 0.0000 3.2981 1.8324
K 0.0000 3.2981 5.4972
K 3.2981 0.0000 1.8324
K 3.2981 0.0000 5.4972
Ag 0.0000 0.0000 1.3223
Ag 0.0000 0.0000 6.0072
Ag 3.2981 3.2981 2.3425
Ag 3.2981 3.2981 4.9871
F 0.0000 0.0000 3.6648
F 3.2981 3.2981 0.0000
```

=====

Record 2
BaHg2Os | PBE-GGA | optimized geometry

- E_form: 0.549 eV/atom
- Relative energy among the computed polymorphs: 0.168 eV per atom
- N(E_F): 3.0 states/eV/f.u.
- Mass density: 11.9 g/cm³

Geometry as extended XYZ:
```
4
Lattice="3.3389 0.0000 0.0000 0.0000 4.7344 0.0000 -1.6325 0.0000 6.4276" Properties=species:S:1:pos:R:3 pbc="T T T"
Ba 0.0000 0.0000 0.0000
Hg -0.0172 2.3672 4.4914
Hg 1.7236 2.3672 1.9363
Os 0.8532 0.0000 3.2138
```